(1)
{"formula": "Ca4DyMg5", "functional": "GGA-PBE", "state": "optimized geometry", "lattice_angstrom": [[3.907, 0.000, 0.000], [0.000, 3.907, 0.000], [0.000, 0.000, 19.842]], "species": ["Ca", "Ca", "Ca", "Ca", "Dy", "Mg", "Mg", "Mg", "Mg", "Mg"], "frac_coords": [[0.000, 0.000, 0.102], [0.000, 0.000, 0.306], [0.000, 0.000, 0.694], [0.000, 0.000, 0.898], [0.000, 0.000, 0.500], [0.500, 0.500, 0.000], [0.500, 0.500, 0.204], [0.500, 0.500, 0.408], [0.500, 0.500, 0.592], [0.500, 0.500, 0.796]], "rho_g_cm3": 2.436, "energy_ev_per_fu": -21.3}

(2)
{"formula": "KTm5Se8", "functional": "GGA-PBE", "state": "optimized geometry", "lattice_angstrom": [[10.515, -2.043, 0.000], [10.515, 2.043, 0.000], [-2.544, 0.000, 9.615]], "species": ["K", "Tm", "Tm", "Tm", "Tm", "Tm", "Se", "Se", "Se", "Se", "Se", "Se", "Se", "Se"], "frac_coords": [[0.000, 0.000, 0.000], [0.154, 0.154, 0.450], [0.203, 0.203, 0.841], [0.500, 0.500, 0.499], [0.796, 0.796, 0.157], [0.845, 0.845, 0.548], [0.078, 0.078, 0.649], [0.269, 0.269, 0.353], [0.332, 0.332, 0.005], [0.421, 0.421, 0.696], [0.578, 0.578, 0.303], [0.667, 0.667, 0.993], [0.730, 0.730, 0.645], [0.921, 0.921, 0.350]], "formation_energy_uncorrected_ev_per_atom": -1.820, "rho_g_cm3": 6.091, "energy_ev_per_fu": -76.8}

(3)
{"formula": "Ba3ZnCl", "functional": "GGA-PBE", "state": "optimized geometry", "lattice_angstrom": [[6.062, 0.000, 0.000], [0.000, 6.062, 0.000], [0.000, 0.000, 6.062]], "species": ["Ba", "Ba", "Ba", "Zn", "Cl"], "frac_coords": [[0.000, 0.000, 0.500], [0.000, 0.500, 0.000], [0.500, 0.000, 0.000], [0.500, 0.500, 0.500], [0.000, 0.000, 0.000]], "de_polymorph_mev_per_atom": 0, "formation_energy_uncorrected_ev_per_atom": -0.521, "rho_g_cm3": 3.822, "energy_ev_per_fu": -11.5}

(4)
{"formula": "NpBeH2O6", "functional": "GGA-PBE", "state": "optimized geometry", "lattice_angstrom": [[5.203, 0.000, 0.000], [0.631, 5.231, 0.000], [2.123, 2.186, 4.382]], "species": ["Np", "Be", "H", "H", "O", "O", "O", "O", "O", "O"], "frac_coords": [[0.000, 0.000, 0.000], [0.635, 0.636, 0.818], [0.214, 0.446, 0.123], [0.556, 0.588, 0.470], [0.158, 0.068, 0.217], [0.292, 0.256, 0.643], [0.303, 0.642, 0.996], [0.698, 0.703, 0.464], [0.747, 0.329, 0.982], [0.802, 0.870, 0.845]], "rho_g_cm3": 4.790, "energy_ev_per_fu": -71.0}